Compound: La2Ir
Source: Alexandria
Functional: PBE
Structure: optimized geometry

Calculated values
- DOS at the Fermi energy (states/eV/cell) = 4.71
- V (Å³/f.u.) = 102.4
- formation enthalpy at 0 K (eV/atom) = -0.532

Cell: 8.461 8.461 5.920 Å, 90.00 90.00 151.12°
Element x y z (fractional)
La: 0.075 0.925 0.750
La: 0.311 0.689 0.750
La: 0.689 0.311 0.250
La: 0.925 0.075 0.250
Ir: 0.316 0.684 0.250
Ir: 0.684 0.316 0.750



Compound: Tb5Nd6Sm2
Source: Alexandria
Functional: PBE
Structure: optimized geometry

Calculated values
- DOS at the Fermi energy (states/eV/cell) = 30.38
- V (Å³/f.u.) = 446.5
- formation enthalpy at 0 K (eV/atom) = 0.098

Cell: 11.836 20.669 3.650 Å, 90.00 90.00 90.00°
Element x y z (fractional)
Tb: 0.000 0.000 0.000
Tb: 0.091 0.276 0.000
Tb: 0.199 0.556 0.000
Tb: 0.301 0.056 0.000
Tb: 0.409 0.776 0.000
Tb: 0.500 0.500 0.000
Tb: 0.591 0.224 0.000
Tb: 0.699 0.944 0.000
Tb: 0.801 0.444 0.000
Tb: 0.909 0.724 0.000
Nd: 0.060 0.422 0.500
Nd: 0.080 0.134 0.500
Nd: 0.177 0.869 0.000
Nd: 0.323 0.369 0.000
Nd: 0.420 0.634 0.500
Nd: 0.440 0.922 0.500
Nd: 0.560 0.078 0.500
Nd: 0.580 0.366 0.500
Nd: 0.677 0.631 0.000
Nd: 0.823 0.131 0.000
Nd: 0.920 0.866 0.500
Nd: 0.940 0.578 0.500
Sm: 0.168 0.714 0.500
Sm: 0.332 0.214 0.500
Sm: 0.668 0.786 0.500
Sm: 0.832 0.286 0.500



Compound: CaInSCl2
Source: Alexandria
Functional: PBE
Structure: optimized geometry

Calculated values
- DOS at the Fermi energy (states/eV/cell) = 3.56
- excess energy over the best structure of this formula in the dataset (meV per atom) = 0
- V (Å³/f.u.) = 157.0

Cell: 5.304 5.304 5.579 Å, 90.00 90.00 90.00°
Element x y z (fractional)
Ca: 0.000 0.000 0.000
In: 0.500 0.500 0.500
S: 0.000 0.000 0.500
Cl: 0.000 0.500 0.000
Cl: 0.500 0.000 0.000



Calculated final energy in order - -0.4976, -0.3388, -0.2675 Ry per atom
Calculated theoretical density in order - 7.6, 7.3, 2.7 g/cm³